# 1
The following is a DFT calculation (GGA-PBE) of an optimized crystal structure of BeRe2Hg.

Cell and atoms, written as POSCAR:
```
BeRe2Hg
1.0
2.731 0.000 0.000
0.000 4.030 0.000
-0.771 0.000 5.590
Be Re Hg
1 2 1
Cartesian
0.000 0.000 0.000 Be
0.942 2.015 1.130 Re
1.018 2.015 4.460 Re
-0.385 0.000 2.795 Hg
```

Energy relative to the elements ... 0.661 eV/atom
Raw total energy ... -6.57 eV/atom
E above lowest polymorph ... 414 meV per atom

# 2
The following is a DFT calculation (GGA-PBE) of an optimized crystal structure of Zr2UGa.

Cell and atoms, written as POSCAR:
```
Zr2UGa
1.0
4.581 0.000 0.000
0.000 4.581 0.000
0.000 0.000 3.960
Zr U Ga
2 1 1
Cartesian
0.000 2.290 0.000 Zr
2.290 0.000 0.000 Zr
0.000 0.000 1.980 U
2.290 2.290 1.980 Ga
```

Energy relative to the elements ... -0.106 eV/atom
Raw total energy ... -7.96 eV/atom
E above lowest polymorph ... 0 meV per atom

# 3
The following is a DFT calculation (GGA-PBE) of an optimized crystal structure of Ac3CdS.

Cell and atoms, written as POSCAR:
```
Ac3CdS
1.0
5.753 0.000 0.000
0.000 5.753 0.000
0.000 0.000 5.753
Ac Cd S
3 1 1
Cartesian
0.000 0.000 2.876 Ac
0.000 2.876 0.000 Ac
2.876 0.000 0.000 Ac
2.876 2.876 2.876 Cd
0.000 0.000 0.000 S
```

Raw total energy ... -4.17 eV/atom
ΔE_f (raw) ... -694 meV per atom

Number 1: ρ 15.71 g/cm3. Number 2: ρ 9.80 g/cm3. Number 3: ρ 7.20 g/cm3.